# 1
{
  "formula": "ScSb4",
  "functional": "PBE",
  "state": "optimized geometry",
  "crystal_system": "cubic",
  "formation_energy_uncorrected_ev_per_atom": -0.163,
  "n_ef_per_ev_fu": 3.25,
  "relative_energy_kj_per_mol_atoms": 0.0,
  "m_tot_mub_per_atom": 0.00,
  "lattice_angstrom": [[2.695, -5.143, 0.286], [3.881, 4.265, 0.735], [-4.033, 0.309, 4.176]],
  "species": ["Sb", "Sb", "Sb", "Sb", "Sc"],
  "fractional_positions": [[0.000, 0.000, 0.500], [0.500, 0.000, 0.000], [0.000, 0.500, 0.000], [0.500, 0.500, 0.500], [0.000, 0.000, 0.000]]
}

=====

# 2
{
  "formula": "ScSb",
  "functional": "PBE",
  "state": "optimized geometry",
  "crystal_system": "trigonal",
  "formation_energy_uncorrected_ev_per_atom": -0.428,
  "m_tot_mub_per_atom": 0.00,
  "lattice_angstrom": [[-5.335, 3.547, 3.939], [-6.657, -1.106, 3.319], [-3.367, 0.061, 6.725]],
  "species": ["Sc", "Sc", "Sb", "Sb"],
  "fractional_positions": [[0.109, 0.109, 0.109], [0.891, 0.891, 0.891], [0.249, 0.249, 0.249], [0.751, 0.751, 0.751]]
}

=====

# 3
{
  "formula": "ScSb5",
  "functional": "PBE",
  "state": "optimized geometry",
  "crystal_system": "orthorhombic",
  "formation_energy_uncorrected_ev_per_atom": -0.108,
  "n_ef_per_ev_fu": 3.68,
  "relative_energy_kj_per_mol_atoms": 2.0,
  "m_tot_mub_per_atom": 0.00,
  "lattice_angstrom": [[2.260, -8.077, 0.000], [2.260, 8.077, 0.000], [0.000, 0.000, 4.498]],
  "species": ["Sb", "Sb", "Sb", "Sb", "Sb", "Sc"],
  "fractional_positions": [[0.977, 0.023, 0.000], [0.343, 0.657, 0.000], [0.643, 0.357, 0.000], [0.772, 0.228, 0.500], [0.485, 0.515, 0.500], [0.113, 0.887, 0.500]]
}

=====

# 4
{
  "formula": "Sc5Sb",
  "functional": "PBE",
  "state": "optimized geometry",
  "crystal_system": "orthorhombic",
  "formation_energy_uncorrected_ev_per_atom": -0.281,
  "n_ef_per_ev_fu": 6.73,
  "relative_energy_kj_per_mol_atoms": 4.1,
  "m_tot_mub_per_atom": 0.00,
  "lattice_angstrom": [[1.716, -8.286, 0.000], [1.716, 8.286, 0.000], [0.000, 0.000, 4.980]],
  "species": ["Sc", "Sc", "Sc", "Sc", "Sc", "Sb"],
  "fractional_positions": [[0.113, 0.887, 0.500], [0.329, 0.671, 0.000], [0.662, 0.338, 0.000], [0.775, 0.225, 0.500], [0.455, 0.545, 0.500], [0.000, 0.000, 0.000]]
}

=====

# 5
{
  "formula": "Sc5Sb3",
  "functional": "PBE",
  "state": "optimized geometry",
  "crystal_system": "orthorhombic",
  "formation_energy_uncorrected_ev_per_atom": -0.695,
  "n_ef_per_ev_fu": 11.11,
  "relative_energy_kj_per_mol_atoms": 15.9,
  "m_tot_mub_per_atom": 0.00,
  "lattice_angstrom": [[-5.533, 2.979, 1.373], [2.273, -2.307, 5.557], [2.329, 3.999, 0.707]],
  "species": ["Sc", "Sc", "Sc", "Sc", "Sc", "Sb", "Sb", "Sb"],
  "fractional_positions": [[0.000, 0.000, 0.000], [0.712, 0.712, 0.500], [0.500, 0.000, 0.000], [0.288, 0.288, 0.500], [0.000, 0.500, 0.000], [0.500, 0.500, 0.000], [0.196, 0.804, 0.500], [0.804, 0.196, 0.500]]
}

=====

# 6
{
  "formula": "Sc5Sb3",
  "functional": "PBE",
  "state": "optimized geometry",
  "crystal_system": "orthorhombic",
  "formation_energy_uncorrected_ev_per_atom": -0.860,
  "n_ef_per_ev_fu": 7.89,
  "relative_energy_kj_per_mol_atoms": 0.0,
  "m_tot_mub_per_atom": 0.00,
  "lattice_angstrom": [[7.661, 0.000, 0.000], [0.000, 8.774, 0.000], [0.000, 0.000, 11.133]],
  "species": ["Sb", "Sb", "Sb", "Sb", "Sb", "Sb", "Sb", "Sb", "Sb", "Sb", "Sb", "Sb", "Sc", "Sc", "Sc", "Sc", "Sc", "Sc", "Sc", "Sc", "Sc", "Sc", "Sc", "Sc", "Sc", "Sc", "Sc", "Sc", "Sc", "Sc", "Sc", "Sc"],
  "fractional_positions": [[0.936, 0.990, 0.325], [0.564, 0.510, 0.825], [0.936, 0.510, 0.325], [0.436, 0.490, 0.175], [0.064, 0.490, 0.675], [0.406, 0.750, 0.476], [0.436, 0.010, 0.175], [0.094, 0.750, 0.976], [0.594, 0.250, 0.524], [0.906, 0.250, 0.024], [0.564, 0.990, 0.825], [0.064, 0.010, 0.675], [0.343, 0.250, 0.713], [0.695, 0.940, 0.565], [0.525, 0.250, 0.994], [0.805, 0.940, 0.065], [0.975, 0.250, 0.494], [0.677, 0.250, 0.269], [0.157, 0.250, 0.213], [0.805, 0.560, 0.065], [0.305, 0.060, 0.435], [0.177, 0.750, 0.231], [0.305, 0.440, 0.435], [0.695, 0.560, 0.565], [0.195, 0.440, 0.935], [0.823, 0.250, 0.769], [0.025, 0.750, 0.506], [0.475, 0.750, 0.006], [0.195, 0.060, 0.935], [0.657, 0.750, 0.287], [0.323, 0.750, 0.731], [0.843, 0.750, 0.787]]
}